4
Lattice="0.000 3.782 3.782 3.782 0.000 3.782 3.782 3.782 0.000" Properties=species:S:1:pos:R:3 comment="SrAgSn2, optimized geometry, DFT PBE-GGA" mass_density_g_cm3=6.64 ef_ev_per_atom=-0.196 pbc="T T T"
Sr 0.000 0.000 0.000
Sn 1.891 1.891 1.891
Sn 5.674 5.674 5.674
Ag 3.782 3.782 3.782